a) The following is a PBE-GGA calculation of a relaxed LiPd6Pt crystal, from Alexandria via LeMat-Bulk.

Structure (POSCAR):
```
LiPd6Pt
1.0
-0.106 3.372 -2.170
-5.406 0.380 0.855
0.927 2.946 4.534
Li Pd Pt
1 6 1
direct
0.500 0.000 0.000 Li
0.000 0.751 0.249 Pd
0.000 0.249 0.751 Pd
0.000 0.752 0.752 Pd
0.000 0.248 0.248 Pd
0.500 0.500 0.000 Pd
0.500 0.000 0.500 Pd
0.500 0.500 0.500 Pt
```

***

b) The following is a PBE-GGA calculation of a relaxed LiPd6Pt crystal, from Alexandria via LeMat-Bulk.

Structure (POSCAR):
```
LiPd6Pt
1.0
5.165 0.533 0.603
-0.034 5.192 0.603
-0.034 -0.038 5.227
Li Pd Pt
1 6 1
direct
0.000 0.000 0.000 Li
0.159 0.545 0.159 Pd
0.159 0.159 0.545 Pd
0.841 0.455 0.841 Pd
0.455 0.841 0.841 Pd
0.841 0.841 0.455 Pd
0.545 0.159 0.159 Pd
0.500 0.500 0.500 Pt
```

***

Stability summary: most stable a), least stable b).

***

a) The following is a PBE-GGA calculation of a relaxed Li3Pd2Pt crystal, from Alexandria via LeMat-Bulk.

Structure (POSCAR):
```
Li3Pd2Pt
1.0
4.208 0.000 0.000
0.000 5.976 0.000
-2.104 -2.988 6.304
Li Pd Pt
6 4 2
direct
0.500 0.250 0.000 Li
0.500 0.750 0.000 Li
0.835 0.085 0.669 Li
0.165 0.415 0.331 Li
0.165 0.915 0.331 Li
0.835 0.585 0.669 Li
0.333 0.333 0.666 Pd
0.667 0.167 0.334 Pd
0.333 0.833 0.666 Pd
0.667 0.667 0.334 Pd
0.000 0.500 0.000 Pt
0.000 0.000 0.000 Pt
```

***

b) The following is a PBE-GGA calculation of a relaxed Li3Pd2Pt crystal, from Alexandria via LeMat-Bulk.

Structure (POSCAR):
```
Li3Pd2Pt
1.0
-0.838 -1.780 -3.711
-1.292 -4.376 2.390
-7.704 0.443 1.528
Li Pd Pt
6 4 2
direct
0.750 0.127 0.576 Li
0.250 0.873 0.424 Li
0.750 0.621 0.262 Li
0.250 0.379 0.738 Li
0.250 0.372 0.078 Li
0.750 0.628 0.922 Li
0.250 0.371 0.411 Pd
0.750 0.629 0.589 Pd
0.750 0.131 0.899 Pd
0.250 0.869 0.101 Pd
0.250 0.874 0.753 Pt
0.750 0.126 0.247 Pt
```

***

Stability summary: most stable a), least stable b).

***

a) The following is a PBE-GGA calculation of a relaxed Li2Pd6Pt crystal, from Alexandria via LeMat-Bulk.

Structure (POSCAR):
```
Li2Pd6Pt
1.0
3.934 0.000 0.000
0.000 8.222 0.000
0.001 0.000 8.222
Li Pd Pt
4 12 2
direct
0.000 0.335 0.835 Li
0.500 0.835 0.665 Li
0.500 0.165 0.335 Li
0.000 0.665 0.165 Li
0.000 0.999 0.170 Pd
0.000 0.670 0.499 Pd
0.000 0.663 0.837 Pd
0.500 0.163 0.663 Pd
0.500 0.170 0.001 Pd
0.500 0.499 0.330 Pd
0.000 0.001 0.830 Pd
0.000 0.330 0.501 Pd
0.000 0.337 0.163 Pd
0.500 0.837 0.337 Pd
0.500 0.830 0.999 Pd
0.500 0.501 0.670 Pd
0.500 0.500 0.000 Pt
0.000 0.000 0.500 Pt
```

***

b) The following is a PBE-GGA calculation of a relaxed Li2Pd6Pt crystal, from Alexandria via LeMat-Bulk.

Structure (POSCAR):
```
Li2Pd6Pt
1.0
-0.255 4.937 4.038
2.021 -3.032 3.876
5.267 -0.265 0.697
Li Pd Pt
2 6 1
direct
0.895 0.667 0.667 Li
0.105 0.333 0.333 Li
0.323 0.340 0.830 Pd
0.325 0.830 0.830 Pd
0.323 0.830 0.340 Pd
0.677 0.660 0.170 Pd
0.675 0.170 0.170 Pd
0.677 0.170 0.660 Pd
0.000 0.000 0.000 Pt
```

***

Stability summary: most stable a), least stable b).

***

a) The following is a PBE-GGA calculation of a relaxed LiPd4Pt crystal, from Alexandria via LeMat-Bulk.

Structure (POSCAR):
```
LiPd4Pt
1.0
2.699 0.000 0.000
0.000 6.336 -0.010
0.000 0.001 6.336
Li Pd Pt
1 4 1
direct
0.000 0.500 0.500 Li
0.500 0.288 0.712 Pd
0.000 0.746 0.746 Pd
0.000 0.254 0.254 Pd
0.500 0.712 0.288 Pd
0.500 0.000 0.000 Pt
```

***

b) The following is a PBE-GGA calculation of a relaxed LiPd4Pt crystal, from Alexandria via LeMat-Bulk.

Structure (POSCAR):
```
LiPd4Pt
1.0
7.487 -0.954 -1.463
-1.488 5.883 -1.385
-1.145 -0.539 4.647
Li Pd Pt
2 8 2
direct
0.286 0.415 0.741 Li
0.714 0.585 0.259 Li
0.876 0.251 0.251 Pd
0.379 0.260 0.252 Pd
0.963 0.092 0.754 Pd
0.456 0.083 0.747 Pd
0.124 0.749 0.749 Pd
0.621 0.740 0.748 Pd
0.037 0.908 0.246 Pd
0.544 0.917 0.253 Pd
0.791 0.418 0.752 Pt
0.209 0.582 0.248 Pt
```

***

Stability summary: most stable b), least stable a).

***

a) The following is a PBE-GGA calculation of a relaxed Li6PdPt crystal, from Alexandria via LeMat-Bulk.

Structure (POSCAR):
```
Li6PdPt
1.0
4.307 -0.281 1.042
1.134 4.165 1.042
-0.136 -0.097 7.264
Li Pd Pt
6 1 1
direct
0.448 0.946 0.690 Li
0.946 0.448 0.690 Li
0.054 0.552 0.310 Li
0.552 0.054 0.310 Li
0.634 0.634 0.085 Li
0.366 0.366 0.915 Li
0.000 0.000 0.000 Pd
0.500 0.500 0.500 Pt
```

***

b) The following is a PBE-GGA calculation of a relaxed Li6PdPt crystal, from Alexandria via LeMat-Bulk.

Structure (POSCAR):
```
Li6PdPt
1.0
-0.158 3.786 -4.123
-2.170 -5.079 -0.918
-3.172 2.194 4.079
Li Pd Pt
6 1 1
direct
0.251 0.251 0.750 Li
0.468 0.035 0.252 Li
0.749 0.749 0.250 Li
0.965 0.532 0.748 Li
0.532 0.965 0.748 Li
0.035 0.468 0.252 Li
0.000 0.000 0.000 Pd
0.500 0.500 0.500 Pt
```

***

Stability summary: most stable a), least stable b).

***

a) The following is a PBE-GGA calculation of a relaxed Li2Pd2Pt crystal, from Alexandria via LeMat-Bulk.

Structure (POSCAR):
```
Li2Pd2Pt
1.0
3.974 0.000 -2.082
-1.091 3.821 -2.082
-0.042 -0.055 4.754
Li Pd Pt
2 2 1
direct
0.643 0.643 0.286 Li
0.357 0.357 0.714 Li
0.250 0.750 0.500 Pd
0.750 0.250 0.500 Pd
0.000 0.000 0.000 Pt
```

***

b) The following is a PBE-GGA calculation of a relaxed Li2Pd2Pt crystal, from Alexandria via LeMat-Bulk.

Structure (POSCAR):
```
Li2Pd2Pt
1.0
-4.745 -4.274 -3.067
4.577 -1.318 -5.244
1.034 -2.191 1.453
Pd Pt Li
4 2 4
direct
0.363 0.863 0.000 Pd
0.863 0.637 0.000 Pd
0.637 0.137 0.000 Pd
0.137 0.363 0.000 Pd
0.000 0.000 0.000 Pt
0.500 0.500 0.000 Pt
0.164 0.664 0.500 Li
0.664 0.836 0.500 Li
0.836 0.336 0.500 Li
0.336 0.164 0.500 Li
```

***

c) The following is a PBE-GGA calculation of a relaxed Li2Pd2Pt crystal, from Alexandria via LeMat-Bulk.

Structure (POSCAR):
```
Li2Pd2Pt
1.0
6.830 0.000 0.000
0.000 6.830 0.000
0.000 0.000 2.874
Pd Pt Li
4 2 4
direct
0.180 0.680 0.500 Pd
0.680 0.820 0.500 Pd
0.820 0.320 0.500 Pd
0.320 0.180 0.500 Pd
0.000 0.000 0.000 Pt
0.500 0.500 0.000 Pt
0.377 0.877 0.000 Li
0.877 0.623 0.000 Li
0.623 0.123 0.000 Li
0.123 0.377 0.000 Li
```

***

Stability summary: most stable c), least stable a).